Below is crystalline RbVHgO4 at its relaxed geometry, with properties calculated at the GGA+U level.

```
RbVHgO4
1.0
-3.7316 -2.9952 -2.6147
-0.7753 -3.5669 5.1925
-3.2000 6.4265 3.9368
O Rb V Hg
8 2 2 2
Direct
0.0502 0.4708 0.7058
0.9498 0.9708 0.2942
0.4319 0.7500 0.5077
0.2541 0.7500 0.1290
0.5681 0.2500 0.4923
0.9498 0.5292 0.2942
0.0502 0.0292 0.7058
0.7459 0.2500 0.8710
0.5446 0.7500 0.8834
0.4554 0.2500 0.1166
0.1585 0.7500 0.3009
0.8415 0.2500 0.6991
0.1619 0.2500 0.4868
0.8381 0.7500 0.5132
```

Computed properties:
DFT total energy in eV/atom: -5.504
D(E_F) in states/eV/atom: 0.000